No. 1
# In2TcTe (PBE-GGA, optimized geometry)
data_In2TcTe
_cell_length_a 4.964
_cell_length_b 4.964
_cell_length_c 4.964
_cell_angle_alpha 60.00
_cell_angle_beta 60.00
_cell_angle_gamma 60.00
_space_group_name_H-M_alt 'P 1'
_space_group_IT_number 1
loop_
_space_group_symop_operation_xyz
'x,y,z'
loop_
_atom_site_label
_atom_site_type_symbol
_atom_site_fract_x
_atom_site_fract_y
_atom_site_fract_z
In1 In 0.000 0.000 0.000
In2 In 0.250 0.250 0.250
Tc1 Tc 0.500 0.500 0.500
Te1 Te 0.750 0.750 0.750
# E: -4.178 eV/atom

No. 2
# Ho2TmTl3CuNi2 (PBE-GGA, optimized geometry)
data_Ho2TmTl3CuNi2
_cell_length_a 3.764
_cell_length_b 7.545
_cell_length_c 7.545
_cell_angle_alpha 119.94
_cell_angle_beta 90.00
_cell_angle_gamma 90.00
_space_group_name_H-M_alt 'P 1'
_space_group_IT_number 1
loop_
_space_group_symop_operation_xyz
'x,y,z'
loop_
_atom_site_label
_atom_site_type_symbol
_atom_site_fract_x
_atom_site_fract_y
_atom_site_fract_z
Ho1 Ho 0.000 0.205 0.795
Ho2 Ho 0.000 0.795 0.205
Tm1 Tm 0.000 0.386 0.386
Tl1 Tl 0.500 0.061 0.061
Tl2 Tl 0.500 0.530 0.794
Tl3 Tl 0.500 0.794 0.530
Cu1 Cu 0.000 0.795 0.795
Ni1 Ni 0.500 0.130 0.461
Ni2 Ni 0.500 0.461 0.130
# E: -4.281 eV/atom

No. 3
# Hf2ZnBi (PBE-GGA, optimized geometry)
data_Hf2ZnBi
_cell_length_a 5.040
_cell_length_b 5.040
_cell_length_c 5.040
_cell_angle_alpha 60.00
_cell_angle_beta 60.00
_cell_angle_gamma 60.00
_space_group_name_H-M_alt 'P 1'
_space_group_IT_number 1
loop_
_space_group_symop_operation_xyz
'x,y,z'
loop_
_atom_site_label
_atom_site_type_symbol
_atom_site_fract_x
_atom_site_fract_y
_atom_site_fract_z
Hf1 Hf 0.000 0.000 0.000
Hf2 Hf 0.250 0.250 0.250
Zn1 Zn 0.750 0.750 0.750
Bi1 Bi 0.500 0.500 0.500
# E: -5.885 eV/atom

No. 4
# LaNdZn6Si3 (PBE-GGA, optimized geometry)
data_LaNdZn6Si3
_cell_length_a 7.580
_cell_length_b 7.580
_cell_length_c 4.093
_cell_angle_alpha 90.00
_cell_angle_beta 90.00
_cell_angle_gamma 120.00
_space_group_name_H-M_alt 'P 1'
_space_group_IT_number 1
loop_
_space_group_symop_operation_xyz
'x,y,z'
loop_
_atom_site_label
_atom_site_type_symbol
_atom_site_fract_x
_atom_site_fract_y
_atom_site_fract_z
La1 La 0.000 0.000 0.000
Nd1 Nd 0.667 0.333 0.000
Zn1 Zn 0.037 0.667 0.500
Zn2 Zn 0.139 0.479 0.000
Zn3 Zn 0.333 0.370 0.500
Zn4 Zn 0.340 0.861 0.000
Zn5 Zn 0.521 0.660 0.000
Zn6 Zn 0.630 0.963 0.500
Si1 Si 0.335 0.042 0.500
Si2 Si 0.707 0.665 0.500
Si3 Si 0.958 0.293 0.500
# E: -3.470 eV/atom

No. 5
# NbFeSiAu (PBE-GGA, optimized geometry)
data_NbFeSiAu
_cell_length_a 4.418
_cell_length_b 4.418
_cell_length_c 4.418
_cell_angle_alpha 60.00
_cell_angle_beta 60.00
_cell_angle_gamma 60.00
_space_group_name_H-M_alt 'P 1'
_space_group_IT_number 1
loop_
_space_group_symop_operation_xyz
'x,y,z'
loop_
_atom_site_label
_atom_site_type_symbol
_atom_site_fract_x
_atom_site_fract_y
_atom_site_fract_z
Nb1 Nb 0.000 0.000 0.000
Fe1 Fe 0.750 0.750 0.750
Si1 Si 0.500 0.500 0.500
Au1 Au 0.250 0.250 0.250
# E: -6.597 eV/atom

No. 6
# GeB4W (PBE-GGA, optimized geometry)
data_GeB4W
_cell_length_a 3.009
_cell_length_b 3.009
_cell_length_c 7.558
_cell_angle_alpha 90.00
_cell_angle_beta 90.00
_cell_angle_gamma 120.00
_space_group_name_H-M_alt 'P 1'
_space_group_IT_number 1
loop_
_space_group_symop_operation_xyz
'x,y,z'
loop_
_atom_site_label
_atom_site_type_symbol
_atom_site_fract_x
_atom_site_fract_y
_atom_site_fract_z
Ge1 Ge 0.000 0.000 0.000
B1 B 0.333 0.667 0.278
B2 B 0.333 0.667 0.722
B3 B 0.667 0.333 0.278
B4 B 0.667 0.333 0.722
W1 W 0.000 0.000 0.500
# E: -7.193 eV/atom

No. 7
# LuOsNO (PBE-GGA, optimized geometry)
data_LuOsNO
_cell_length_a 4.816
_cell_length_b 4.816
_cell_length_c 4.176
_cell_angle_alpha 90.00
_cell_angle_beta 90.00
_cell_angle_gamma 90.00
_space_group_name_H-M_alt 'P 1'
_space_group_IT_number 1
loop_
_space_group_symop_operation_xyz
'x,y,z'
loop_
_atom_site_label
_atom_site_type_symbol
_atom_site_fract_x
_atom_site_fract_y
_atom_site_fract_z
Lu1 Lu 0.250 0.750 0.000
Lu2 Lu 0.750 0.250 0.000
Os1 Os 0.250 0.250 0.498
Os2 Os 0.750 0.750 0.502
N1 N 0.250 0.250 0.998
N2 N 0.750 0.750 0.002
O1 O 0.250 0.750 0.500
O2 O 0.750 0.250 0.500
# E: -8.002 eV/atom

No. 8
# SrInCo (PBE-GGA, optimized geometry)
data_SrInCo
_cell_length_a 4.768
_cell_length_b 4.768
_cell_length_c 4.768
_cell_angle_alpha 60.00
_cell_angle_beta 60.00
_cell_angle_gamma 60.00
_space_group_name_H-M_alt 'P 1'
_space_group_IT_number 1
loop_
_space_group_symop_operation_xyz
'x,y,z'
loop_
_atom_site_label
_atom_site_type_symbol
_atom_site_fract_x
_atom_site_fract_y
_atom_site_fract_z
Sr1 Sr 0.000 0.000 0.000
In1 In 0.500 0.500 0.500
Co1 Co 0.750 0.750 0.750
# E: -3.592 eV/atom

No. 9
# TmLuAl4Ni2 (PBE-GGA, optimized geometry)
data_TmLuAl4Ni2
_cell_length_a 6.852
_cell_length_b 5.361
_cell_length_c 5.361
_cell_angle_alpha 44.28
_cell_angle_beta 90.00
_cell_angle_gamma 90.00
_space_group_name_H-M_alt 'P 1'
_space_group_IT_number 1
loop_
_space_group_symop_operation_xyz
'x,y,z'
loop_
_atom_site_label
_atom_site_type_symbol
_atom_site_fract_x
_atom_site_fract_y
_atom_site_fract_z
Tm1 Tm 0.000 0.000 0.000
Lu1 Lu 0.500 0.124 0.124
Al1 Al 0.197 0.715 0.715
Al2 Al 0.304 0.409 0.409
Al3 Al 0.696 0.409 0.409
Al4 Al 0.803 0.715 0.715
Ni1 Ni 0.000 0.278 0.278
Ni2 Ni 0.500 0.847 0.847
# E: -5.043 eV/atom

No. 10
# Cu5Ag (PBE-GGA, optimized geometry)
data_Cu5Ag
_cell_length_a 2.668
_cell_length_b 2.668
_cell_length_c 10.811
_cell_angle_alpha 90.00
_cell_angle_beta 90.00
_cell_angle_gamma 90.00
_space_group_name_H-M_alt 'P 1'
_space_group_IT_number 1
loop_
_space_group_symop_operation_xyz
'x,y,z'
loop_
_atom_site_label
_atom_site_type_symbol
_atom_site_fract_x
_atom_site_fract_y
_atom_site_fract_z
Cu1 Cu 0.000 0.000 0.000
Cu2 Cu 0.000 0.000 0.313
Cu3 Cu 0.000 0.000 0.687
Cu4 Cu 0.500 0.500 0.157
Cu5 Cu 0.500 0.500 0.843
Ag1 Ag 0.500 0.500 0.500
# E: -3.516 eV/atom
# energy relative to the elements: 30 kJ/mol of formula units

No. 11
# MoPdPt2 (PBE-GGA, optimized geometry)
data_MoPdPt2
_cell_length_a 4.458
_cell_length_b 4.458
_cell_length_c 4.458
_cell_angle_alpha 60.00
_cell_angle_beta 60.00
_cell_angle_gamma 60.00
_space_group_name_H-M_alt 'P 1'
_space_group_IT_number 1
loop_
_space_group_symop_operation_xyz
'x,y,z'
loop_
_atom_site_label
_atom_site_type_symbol
_atom_site_fract_x
_atom_site_fract_y
_atom_site_fract_z
Mo1 Mo 0.000 0.000 0.000
Pd1 Pd 0.750 0.750 0.750
Pt1 Pt 0.250 0.250 0.250
Pt2 Pt 0.500 0.500 0.500
# E: -7.011 eV/atom
# energy relative to the elements: 9 kJ/mol of formula units

No. 12
# Tm3In4Co2 (PBE-GGA, optimized geometry)
data_Tm3In4Co2
_cell_length_a 8.029
_cell_length_b 8.029
_cell_length_c 3.501
_cell_angle_alpha 90.00
_cell_angle_beta 90.00
_cell_angle_gamma 120.00
_space_group_name_H-M_alt 'P 1'
_space_group_IT_number 1
loop_
_space_group_symop_operation_xyz
'x,y,z'
loop_
_atom_site_label
_atom_site_type_symbol
_atom_site_fract_x
_atom_site_fract_y
_atom_site_fract_z
Tm1 Tm 0.080 0.408 0.000
Tm2 Tm 0.328 0.920 0.000
Tm3 Tm 0.592 0.672 0.000
In1 In 0.000 0.000 0.000
In2 In 0.381 0.297 0.500
In3 In 0.703 0.083 0.500
In4 In 0.917 0.619 0.500
Co1 Co 0.333 0.667 0.500
Co2 Co 0.667 0.333 0.000
# E: -4.525 eV/atom

No. 13
# Sr2Au3 (PBE-GGA, optimized geometry)
data_Sr2Au3
_cell_length_a 8.018
_cell_length_b 8.018
_cell_length_c 4.199
_cell_angle_alpha 90.00
_cell_angle_beta 90.00
_cell_angle_gamma 90.00
_space_group_name_H-M_alt 'P 1'
_space_group_IT_number 1
loop_
_space_group_symop_operation_xyz
'x,y,z'
loop_
_atom_site_label
_atom_site_type_symbol
_atom_site_fract_x
_atom_site_fract_y
_atom_site_fract_z
Sr1 Sr 0.177 0.323 0.000
Sr2 Sr 0.323 0.823 0.000
Sr3 Sr 0.677 0.177 0.000
Sr4 Sr 0.823 0.677 0.000
Au1 Au 0.000 0.000 0.500
Au2 Au 0.125 0.625 0.500
Au3 Au 0.375 0.125 0.500
Au4 Au 0.500 0.500 0.500
Au5 Au 0.625 0.875 0.500
Au6 Au 0.875 0.375 0.500
# E: -3.353 eV/atom

No. 14
# NdTmAl2Ni4 (PBE-GGA, optimized geometry)
data_NdTmAl2Ni4
_cell_length_a 4.154
_cell_length_b 4.154
_cell_length_c 9.078
_cell_angle_alpha 90.00
_cell_angle_beta 90.00
_cell_angle_gamma 120.00
_space_group_name_H-M_alt 'P 1'
_space_group_IT_number 1
loop_
_space_group_symop_operation_xyz
'x,y,z'
loop_
_atom_site_label
_atom_site_type_symbol
_atom_site_fract_x
_atom_site_fract_y
_atom_site_fract_z
Nd1 Nd 0.000 0.000 0.000
Tm1 Tm 0.667 0.333 0.500
Al1 Al 0.333 0.667 0.262
Al2 Al 0.333 0.667 0.738
Ni1 Ni 0.000 0.000 0.323
Ni2 Ni 0.000 0.000 0.677
Ni3 Ni 0.667 0.333 0.202
Ni4 Ni 0.667 0.333 0.798
# E: -5.440 eV/atom

No. 15
# TbGdP2Pt2O2 (PBE-GGA, optimized geometry)
data_TbGdP2Pt2O2
_cell_length_a 4.094
_cell_length_b 4.094
_cell_length_c 7.792
_cell_angle_alpha 90.00
_cell_angle_beta 90.00
_cell_angle_gamma 90.00
_space_group_name_H-M_alt 'P 1'
_space_group_IT_number 1
loop_
_space_group_symop_operation_xyz
'x,y,z'
loop_
_atom_site_label
_atom_site_type_symbol
_atom_site_fract_x
_atom_site_fract_y
_atom_site_fract_z
Tb1 Tb 0.000 0.000 0.000
Gd1 Gd 0.500 0.500 0.732
P1 P 0.000 0.000 0.529
P2 P 0.500 0.500 0.203
Pt1 Pt 0.000 0.500 0.366
Pt2 Pt 0.500 0.000 0.366
O1 O 0.000 0.500 0.868
O2 O 0.500 0.000 0.868
# E: -7.130 eV/atom

No. 16
# Lu2Be2O5 (PBE-GGA, optimized geometry)
data_Lu2Be2O5
_cell_length_a 3.734
_cell_length_b 3.734
_cell_length_c 8.373
_cell_angle_alpha 90.00
_cell_angle_beta 90.00
_cell_angle_gamma 90.00
_space_group_name_H-M_alt 'P 1'
_space_group_IT_number 1
loop_
_space_group_symop_operation_xyz
'x,y,z'
loop_
_atom_site_label
_atom_site_type_symbol
_atom_site_fract_x
_atom_site_fract_y
_atom_site_fract_z
Lu1 Lu 0.000 0.000 0.241
Lu2 Lu 0.000 0.000 0.759
Be1 Be 0.500 0.500 0.000
Be2 Be 0.500 0.500 0.500
O1 O 0.000 0.000 0.500
O2 O 0.000 0.500 0.138
O3 O 0.000 0.500 0.862
O4 O 0.500 0.000 0.138
O5 O 0.500 0.000 0.862
# E: -6.260 eV/atom

No. 17
# Ni3AgN5 (PBE-GGA, optimized geometry)
data_Ni3AgN5
_cell_length_a 5.162
_cell_length_b 5.162
_cell_length_c 3.879
_cell_angle_alpha 90.00
_cell_angle_beta 90.00
_cell_angle_gamma 120.00
_space_group_name_H-M_alt 'P 1'
_space_group_IT_number 1
loop_
_space_group_symop_operation_xyz
'x,y,z'
loop_
_atom_site_label
_atom_site_type_symbol
_atom_site_fract_x
_atom_site_fract_y
_atom_site_fract_z
Ni1 Ni 0.000 0.500 0.000
Ni2 Ni 0.500 0.000 0.000
Ni3 Ni 0.500 0.500 0.000
Ag1 Ag 0.000 0.000 0.500
N1 N 0.000 0.000 0.000
N2 N 0.333 0.667 0.340
N3 N 0.333 0.667 0.660
N4 N 0.667 0.333 0.340
N5 N 0.667 0.333 0.660
# E: -6.131 eV/atom

No. 18
# InPdAuSe2S (PBE-GGA, optimized geometry)
data_InPdAuSe2S
_cell_length_a 6.866
_cell_length_b 6.866
_cell_length_c 10.559
_cell_angle_alpha 90.00
_cell_angle_beta 90.00
_cell_angle_gamma 147.85
_space_group_name_H-M_alt 'P 1'
_space_group_IT_number 1
loop_
_space_group_symop_operation_xyz
'x,y,z'
loop_
_atom_site_label
_atom_site_type_symbol
_atom_site_fract_x
_atom_site_fract_y
_atom_site_fract_z
In1 In 0.172 0.828 0.750
In2 In 0.828 0.172 0.250
Pd1 Pd 0.500 0.500 0.000
Pd2 Pd 0.500 0.500 0.500
Au1 Au 0.167 0.833 0.250
Au2 Au 0.833 0.167 0.750
Se1 Se 0.127 0.873 0.017
Se2 Se 0.127 0.873 0.483
Se3 Se 0.873 0.127 0.517
Se4 Se 0.873 0.127 0.983
S1 S 0.464 0.536 0.250
S2 S 0.536 0.464 0.750
# E: -3.959 eV/atom

No. 19
# TbInHgTe3 (PBE-GGA, optimized geometry)
data_TbInHgTe3
_cell_length_a 15.042
_cell_length_b 4.464
_cell_length_c 11.855
_cell_angle_alpha 90.00
_cell_angle_beta 90.00
_cell_angle_gamma 90.00
_space_group_name_H-M_alt 'P 1'
_space_group_IT_number 1
loop_
_space_group_symop_operation_xyz
'x,y,z'
loop_
_atom_site_label
_atom_site_type_symbol
_atom_site_fract_x
_atom_site_fract_y
_atom_site_fract_z
Tb1 Tb 0.026 0.250 0.159
Tb2 Tb 0.474 0.750 0.659
Tb3 Tb 0.526 0.250 0.341
Tb4 Tb 0.974 0.750 0.841
In1 In 0.239 0.250 0.452
In2 In 0.261 0.750 0.952
In3 In 0.739 0.250 0.048
In4 In 0.761 0.750 0.548
Hg1 Hg 0.021 0.750 0.390
Hg2 Hg 0.479 0.250 0.890
Hg3 Hg 0.521 0.750 0.110
Hg4 Hg 0.979 0.250 0.610
Te1 Te 0.102 0.750 0.622
Te2 Te 0.103 0.250 0.921
Te3 Te 0.161 0.750 0.229
Te4 Te 0.339 0.250 0.729
Te5 Te 0.397 0.750 0.421
Te6 Te 0.398 0.250 0.122
Te7 Te 0.602 0.750 0.878
Te8 Te 0.603 0.250 0.579
Te9 Te 0.661 0.750 0.271
Te10 Te 0.839 0.250 0.771
Te11 Te 0.897 0.750 0.079
Te12 Te 0.898 0.250 0.378
# E: -3.504 eV/atom